# 1
NiHgRu2 after structural relaxation, computed with PBE-GGA.

Lattice parameters (Å, degrees): 2.7730 4.3025 5.2576 90.00 104.55 90.00
Space group P2/m (No. 10)
One atom of each set of equivalent atoms:
Ni: 0.0000 0.0000 0.0000 (multiplicity 1)
Hg: 0.0000 0.0000 0.5000 (multiplicity 1)
Ru: 0.3751 0.5000 0.2155 (multiplicity 2)

Properties
E_tot = -5.615 eV/atom
DOS(E_F) = 5.9 states/eV/cell

=====

# 2
NiHgRu2 after structural relaxation, computed with PBE-GGA.

Lattice parameters (Å, degrees): 2.7878 2.7878 26.7913 90.00 90.00 120.00
Space group R-3m (No. 166, hexagonal axes)
One atom of each set of equivalent atoms:
Ni: 0.0000 0.0000 0.0000 (multiplicity 3)
Hg: 0.0000 0.0000 0.5000 (multiplicity 3)
Ru: 0.0000 0.0000 0.2594 (multiplicity 6)

Properties
E_tot = -5.671 eV/atom
DOS(E_F) = 15.3 states/eV/cell

=====

# 3
NiHgRu2 after structural relaxation, computed with PBE-GGA.

Lattice parameters (Å, degrees): 2.9649 2.9649 6.8438 90.00 90.00 90.00
Space group P4/mmm (No. 123)
One atom of each set of equivalent atoms:
Ni: 0.0000 0.0000 0.0000 (multiplicity 1)
Hg: 0.0000 0.0000 0.5000 (multiplicity 1)
Ru: 0.5000 0.5000 0.1979 (multiplicity 2)

Properties
E_tot = -5.717 eV/atom
DOS(E_F) = 4.6 states/eV/cell

=====

# 4
Ni2HgRu after structural relaxation, computed with PBE-GGA.

Lattice parameters (Å, degrees): 2.7631 2.7631 7.4238 90.00 90.00 90.00
Space group P4/mmm (No. 123)
One atom of each set of equivalent atoms:
Ni: 0.0000 0.0000 0.2239 (multiplicity 2)
Hg: 0.5000 0.5000 0.5000 (multiplicity 1)
Ru: 0.5000 0.5000 0.0000 (multiplicity 1)

Properties
E_tot = -5.034 eV/atom
DOS(E_F) = 4.8 states/eV/cell

=====

# 5
NiHgRu2 after structural relaxation, computed with PBE-GGA.

Lattice parameters (Å, degrees): 2.7881 4.4323 9.7107 90.00 90.00 90.00
Space group Immm (No. 71)
One atom of each set of equivalent atoms:
Ni: 0.0000 0.0000 0.0000 (multiplicity 2)
Hg: 0.0000 0.0000 0.5000 (multiplicity 2)
Ru: 0.0000 0.5000 0.2824 (multiplicity 4)

Properties
E_tot = -5.733 eV/atom
DOS(E_F) = 8.0 states/eV/cell

=====

# 6
NiHgRu2 after structural relaxation, computed with PBE-GGA.

Lattice parameters (Å, degrees): 3.7660 3.7660 4.2059 90.00 90.00 90.00
Space group P4/mmm (No. 123)
One atom of each set of equivalent atoms:
Ni: 0.0000 0.0000 0.0000 (multiplicity 1)
Hg: 0.5000 0.5000 0.0000 (multiplicity 1)
Ru: 0.0000 0.5000 0.5000 (multiplicity 2)

Properties
E_tot = -5.614 eV/atom
DOS(E_F) = 6.1 states/eV/cell

=====

The formation enthalpy at 0 K results, record by record, are as follows: 0.543, 0.487, 0.442, 0.251, 0.426, 0.545 eV per atom.